No. 1
Here is a relaxed CaMgTc3 crystal from Alexandria. Energies are from PBE.

a b c (Å): 4.717 4.717 4.717
angles (deg): 90.00 90.00 90.00
Space group Pm-3m (No. 221)
One atom of each set of equivalent atoms:
Ca  0.000  0.000  0.000
Mg  0.500  0.500  0.500
Tc  0.000  0.500  0.500

## Properties
- Formation energy: 1.672 eV/atom

No. 2
Here is a relaxed CaMg2TiTc crystal from Alexandria. Energies are from PBE.

a b c (Å): 4.926 4.926 4.469
angles (deg): 90.00 90.00 90.00
Space group P4/mmm (No. 123)
One atom of each set of equivalent atoms:
Ca  0.000  0.000  0.000
Mg  0.000  0.500  0.000
Ti  0.000  0.000  0.500
Tc  0.500  0.500  0.500

## Properties
- Formation energy: 1.980 eV/atom

No. 3
Here is a relaxed Ca2YMgTc crystal from Alexandria. Energies are from PBE.

a b c (Å): 5.615 5.615 5.693
angles (deg): 90.00 90.00 90.00
Space group P4/mmm (No. 123)
One atom of each set of equivalent atoms:
Ca  0.000  0.500  0.000
Y  0.000  0.000  0.500
Mg  0.000  0.000  0.000
Tc  0.500  0.500  0.500

## Properties
- Formation energy: 1.240 eV/atom

No. 4
Here is a relaxed Ca5MgTe6 crystal from Alexandria. Energies are from PBE.

a b c (Å): 7.756 13.434 7.753
angles (deg): 90.00 109.49 90.00
Space group C2/m (No. 12)
One atom of each set of equivalent atoms:
Ca  0.000  0.000  0.000
Ca  0.000  0.166  0.500
Ca  0.000  0.331  0.000
Mg  0.000  0.500  0.500
Te  0.240  0.500  0.257
Te  0.242  0.339  0.743

## Properties
- Formation energy without anion corrections: -1.4978 eV/atom

No. 5
Here is a relaxed CaMg4Te crystal from Alexandria. Energies are from PBE.

a b c (Å): 8.627 8.627 8.627
angles (deg): 90.00 90.00 90.00
Space group F-43m (No. 216)
One atom of each set of equivalent atoms:
Ca  0.000  0.000  0.000
Mg  0.126  0.126  0.626
Te  0.250  0.250  0.250

## Properties
- Formation energy without anion corrections: -0.0932 eV/atom

No. 6
Here is a relaxed CaMgTe2 crystal from Alexandria. Energies are from PBE.

a b c (Å): 7.994 7.966 4.039
angles (deg): 90.00 109.55 90.00
Space group C2/m (No. 12)
One atom of each set of equivalent atoms:
Ca  0.000  0.000  0.000
Mg  0.000  0.500  0.000
Te  0.250  0.250  0.500

## Properties
- Formation energy without anion corrections: -0.8560 eV/atom

Repeat the fifth record exactly.
Here is a relaxed CaMg4Te crystal from Alexandria. Energies are from PBE.

a b c (Å): 8.627 8.627 8.627
angles (deg): 90.00 90.00 90.00
Space group F-43m (No. 216)
One atom of each set of equivalent atoms:
Ca  0.000  0.000  0.000
Mg  0.126  0.126  0.626
Te  0.250  0.250  0.250

## Properties
- Formation energy without anion corrections: -0.0932 eV/atom